A plane-wave DFT calculation with PBE was carried out for crystalline BaCaRh2 at its relaxed geometry.

Cell and atoms, written as extended XYZ:
```
4
Lattice="-5.168 0.269 1.727 -4.710 0.180 -2.748 -3.863 -5.451 -0.287" Properties=species:S:1:pos:R:3 pbc="T T T"
Ca -3.435 -1.250 -0.327
Rh -10.534 -0.513 -1.069
Rh -6.215 -1.539 -0.606
Ba -10.306 -3.751 -0.981
```

**Distance to the lowest polymorph of the same formula**: 95 meV/atom
**DFT total energy**: -19.03 eV for the cell shown
**DFT formation energy**: -101 meV per atom